First-principles (PBE-GGA) data for crystalline Th2ScIn at its relaxed geometry, as listed in Alexandria.

Cell lengths 4.9393, 4.7590, 4.7590 Å; angles 90.00, 90.00, 90.00 degrees
Fractional positions:
Sc 0.5000 0.0000 0.0000
Th 0.0000 0.0000 0.5000
Th 0.0000 0.5000 0.0000
In 0.5000 0.5000 0.5000

Computed properties:
Its density of states at the Fermi level is 1.306 states/eV/atom. Its energy above the most stable polymorph in this dataset is 0 meV/atom. The electronic total energy is -6.161 eV per atom. Its space group is P4/mmm, No. 123. As for the formation energy from the elements: -18 kJ per mole of atoms.